[1]
Below is crystalline Nd4RuRhCl2 at its relaxed geometry, with properties calculated at the PBE-GGA level.

a = 4.051 Å, b = 7.036 Å, c = 7.981 Å
α = 106.97°, β = 90.00°, γ = 90.00°
Positions (direct):
Nd 0.500 0.241 0.205
Nd 0.500 0.759 0.795
Nd 0.000 0.268 0.792
Nd 0.000 0.732 0.208
Ru 0.500 0.500 0.000
Rh 0.000 0.000 0.000
Cl 0.500 0.000 0.500
Cl 0.000 0.500 0.500

Summary:
Space-group type: P2/m, No. 10
E_form (uncorrected): -1.026 eV/atom

***

[2]
Below is crystalline Pt2PbW at its relaxed geometry, with properties calculated at the PBE-GGA level.

a = 2.928 Å, b = 4.972 Å, c = 5.924 Å
α = 55.18°, β = 90.00°, γ = 90.00°
Positions (direct):
Pb 0.000 0.000 0.500
Pt 0.000 0.000 0.000
Pt 0.500 0.500 0.000
W 0.500 0.500 0.500

Summary:
Energy relative to the elements: 152 kJ/mol of formula units
Space-group type: P2/m, No. 10

***

[3]
Below is crystalline NaAl2Rh2 at its relaxed geometry, with properties calculated at the PBE-GGA level.

a = 7.362 Å, b = 7.362 Å, c = 2.889 Å
α = 90.00°, β = 90.00°, γ = 90.00°
Positions (direct):
Na 0.000 0.000 0.000
Na 0.500 0.500 0.000
Rh 0.353 0.853 0.000
Rh 0.853 0.647 0.000
Rh 0.647 0.147 0.000
Rh 0.147 0.353 0.000
Al 0.144 0.644 0.500
Al 0.644 0.856 0.500
Al 0.856 0.356 0.500
Al 0.356 0.144 0.500

Summary:
Relative energy among the computed polymorphs: 0.0021 eV/atom
Energy relative to the elements: -311 kJ/mol of formula units
Space-group type: P4/mbm, No. 127

***

[4]
Below is crystalline Y6SbAs3Se2 at its relaxed geometry, with properties calculated at the PBE-GGA level.

a = 4.157 Å, b = 8.340 Å, c = 9.316 Å
α = 103.28°, β = 102.89°, γ = 90.00°
Positions (direct):
Y 0.329 0.922 0.657
Y 0.664 0.590 0.328
Y 0.671 0.078 0.343
Y 0.998 0.262 0.996
Y 0.002 0.738 0.004
Y 0.336 0.410 0.672
Sb 0.500 0.000 0.000
As 0.500 0.500 0.000
As 0.834 0.168 0.667
As 0.166 0.832 0.333
Se 0.831 0.664 0.663
Se 0.169 0.336 0.337

Summary:
Space-group type: C2/m, No. 12
E_form (uncorrected): -1.603 eV/atom

***

[5]
Below is crystalline ZnIrBr3 at its relaxed geometry, with properties calculated at the PBE-GGA level.

a = 5.101 Å, b = 5.101 Å, c = 5.101 Å
α = 90.00°, β = 90.00°, γ = 90.00°
Positions (direct):
Zn 0.500 0.500 0.500
Ir 0.000 0.000 0.000
Br 0.000 0.500 0.000
Br 0.000 0.000 0.500
Br 0.500 0.000 0.000

Summary:
Relative energy among the computed polymorphs: 0.0000 eV/atom
Space-group type: Pm-3m, No. 221
E_form (uncorrected): 0.280 eV/atom

***

[6]
Below is crystalline MgNiAs2 at its relaxed geometry, with properties calculated at the PBE-GGA level.

a = 7.305 Å, b = 7.305 Å, c = 5.805 Å
α = 51.01°, β = 51.01°, γ = 90.00°
Positions (direct):
Ni 0.000 0.000 0.000
Ni 0.750 0.250 0.500
As 0.690 0.125 0.250
As 0.060 0.625 0.250
As 0.375 0.310 0.750
As 0.875 0.940 0.750
Mg 0.500 0.500 0.000
Mg 0.250 0.750 0.500

Summary:
Energy relative to the elements: -65 kJ/mol of formula units
Space-group type: I-42d, No. 122

***

[7]
Below is crystalline KTlSi2 at its relaxed geometry, with properties calculated at the PBE-GGA level.

a = 3.263 Å, b = 3.263 Å, c = 9.598 Å
α = 90.00°, β = 90.00°, γ = 100.73°
Positions (direct):
K 0.500 0.500 0.750
Si 0.000 0.000 0.028
Si 0.000 0.000 0.472
Tl 0.500 0.500 0.250

Summary:
Relative energy among the computed polymorphs: 0.5341 eV/atom
Space-group type: Cmmm, No. 65
E_form (uncorrected): 0.645 eV/atom

***

[8]
Below is crystalline RbV5Te8 at its relaxed geometry, with properties calculated at the PBE-GGA level.

a = 3.966 Å, b = 9.744 Å, c = 10.266 Å
α = 103.66°, β = 101.14°, γ = 90.00°
Positions (direct):
Rb 0.500 0.500 0.999
V 0.293 0.667 0.585
V 0.708 0.334 0.415
V 0.348 0.000 0.696
V 0.651 0.000 0.303
V 0.000 0.000 0.001
Te 0.241 0.153 0.482
Te 0.759 0.847 0.518
Te 0.166 0.491 0.331
Te 0.834 0.509 0.669
Te 0.090 0.825 0.179
Te 0.910 0.174 0.821
Te 0.430 0.824 0.861
Te 0.570 0.177 0.139

Summary:
Space-group type: Cm, No. 8
E_form (uncorrected): -0.406 eV/atom

***

Here are the calculated spin magnetization numbers, same order: 0.00; 0.00; 0.00; 0.00; 0.00; 0.00; 0.00; 10.03 (μB per formula unit).